(1)
The following is a PBE-GGA calculation of an optimized crystal structure of Ac2GaHg, from Alexandria via LeMat-Bulk.

Summary:
DFT total energy   -3.35 eV/atom
Energy of formation from the pure elements   -0.468 eV/atom

Cell: 3.9524 3.9524 8.0859 Å, 90.00 90.00 90.00°
Space group P4/mmm (No. 123)
Asymmetric unit:
Ac (0.0000, 0.0000, 0.2361) [2 per cell]
Ga (0.5000, 0.5000, 0.0000) [1 per cell]
Hg (0.5000, 0.5000, 0.5000) [1 per cell]

---

(2)
The following is a PBE-GGA calculation of an optimized crystal structure of Ac6GaHg, from Alexandria via LeMat-Bulk.

Summary:
DFT total energy   -3.71 eV/atom
Energy of formation from the pure elements   -0.215 eV/atom

Cell: 5.6677 5.6677 19.1654 Å, 90.00 90.00 90.00°
Space group I4/mmm (No. 139)
Asymmetric unit:
Ac (0.0000, 0.0000, 0.2487) [4 per cell]
Ac (0.0000, 0.5000, 0.1027) [8 per cell]
Ga (0.0000, 0.0000, 0.0000) [2 per cell]
Hg (0.0000, 0.0000, 0.5000) [2 per cell]

---

(3)
The following is a PBE-GGA calculation of an optimized crystal structure of AcGa2Hg, from Alexandria via LeMat-Bulk.

Summary:
DFT total energy   -3.09 eV/atom
Energy of formation from the pure elements   -0.479 eV/atom

Cell: 7.4952 4.6009 11.7037 Å, 90.00 90.00 90.00°
Space group Pnma (No. 62)
Asymmetric unit:
Ac (0.1534, 0.2500, 0.1370) [4 per cell]
Ga (0.0156, 0.2500, 0.6552) [4 per cell]
Ga (0.1639, 0.2500, 0.8492) [4 per cell]
Hg (0.1718, 0.2500, 0.4404) [4 per cell]

---

(4)
The following is a PBE-GGA calculation of an optimized crystal structure of AcGaHg, from Alexandria via LeMat-Bulk.

Summary:
DFT total energy   -2.97 eV/atom
Energy of formation from the pure elements   -0.494 eV/atom

Cell: 4.8434 4.8434 4.1404 Å, 90.00 90.00 120.00°
Space group P3m1 (No. 156)
Asymmetric unit:
Ac (0.0000, 0.0000, 0.0000) [1 per cell]
Ga (0.3333, 0.6667, 0.5034) [1 per cell]
Hg (0.6667, 0.3333, 0.4988) [1 per cell]

---

(5)
The following is a PBE-GGA calculation of an optimized crystal structure of Ac3Ga3Hg2, from Alexandria via LeMat-Bulk.

Summary:
DFT total energy   -3.26 eV/atom
Energy of formation from the pure elements   -0.506 eV/atom

Cell: 4.8811 11.5267 16.0640 Å, 90.00 90.00 90.00°
Space group Cmcm (No. 63)
Asymmetric unit:
Ac (0.0000, 0.1018, 0.1076) [8 per cell]
Ac (0.0000, 0.3756, 0.2500) [4 per cell]
Ga (0.0000, 0.3378, 0.7500) [4 per cell]
Ga (0.0000, 0.3962, 0.0374) [8 per cell]
Hg (0.0000, 0.1964, 0.5999) [8 per cell]

---

(6)
The following is a PBE-GGA calculation of an optimized crystal structure of Ac2Ga3Hg, from Alexandria via LeMat-Bulk.

Summary:
DFT total energy   -3.50 eV/atom
Energy of formation from the pure elements   -0.563 eV/atom

Cell: 4.3174 4.7474 15.9757 Å, 90.00 90.00 90.00°
Space group Imm2 (No. 44)
Asymmetric unit:
Ac (0.0000, 0.0000, 0.0000) [2 per cell]
Ac (0.0000, 0.5000, 0.2658) [2 per cell]
Ga (0.0000, 0.0000, 0.4222) [2 per cell]
Ga (0.0000, 0.5000, 0.6790) [2 per cell]
Ga (0.0000, 0.5000, 0.8401) [2 per cell]
Hg (0.0000, 0.0000, 0.5930) [2 per cell]

---

(7)
The following is a PBE-GGA calculation of an optimized crystal structure of Ac8Ga3HgI4, from Alexandria via LeMat-Bulk.

Summary:
DFT total energy   -3.76 eV/atom
Raw formation energy   -732 meV/atom

Cell: 9.4732 9.4732 23.7144 Å, 90.00 90.00 120.00°
Space group R-3m (No. 166, hexagonal axes)
Asymmetric unit:
Ac (0.0000, 0.0000, 0.2360) [6 per cell]
Ac (0.0084, 0.5042, 0.7621) [18 per cell]
Ga (0.0000, 0.5000, 0.5000) [9 per cell]
Hg (0.0000, 0.0000, 0.5000) [3 per cell]
I (0.0000, 0.0000, 0.0000) [3 per cell]
I (0.0000, 0.5000, 0.0000) [9 per cell]

---

(8)
The following is a PBE-GGA calculation of an optimized crystal structure of Ac2In4GaHg3, from Alexandria via LeMat-Bulk.

Summary:
DFT total energy   -2.65 eV/atom
Energy of formation from the pure elements   -0.340 eV/atom

Cell: 4.8604 4.8604 11.6910 Å, 90.00 90.00 90.00°
Space group P-4m2 (No. 115)
Asymmetric unit:
Ac (0.0000, 0.5000, 0.2379) [2 per cell]
In (0.0000, 0.0000, 0.5000) [1 per cell]
In (0.0000, 0.5000, 0.8750) [2 per cell]
In (0.5000, 0.5000, 0.5000) [1 per cell]
Ga (0.5000, 0.5000, 0.0000) [1 per cell]
Hg (0.0000, 0.0000, 0.0000) [1 per cell]
Hg (0.0000, 0.5000, 0.6399) [2 per cell]